Density functional theory data (PBE) for a relaxed PrErGa2 crystal.

Cell lengths 3.7171, 3.7171, 26.4708 Å; angles 90.00, 90.00, 120.00 degrees
Last column: nearest neighbours and their distance in Å.
Space group R-3m (No. 166, hexagonal axes)
Symmetry-distinct sites (fractional):
Pr 0.0000 0.0000 0.0000 (multiplicity 3)  6 Ga 3.15
Er 0.0000 0.0000 0.5000 (multiplicity 3)  6 Ga 3.01
Ga 0.0000 0.0000 0.2463 (multiplicity 6)  3 Er 3.01, 3 Pr 3.15

For the energy of formation, the calculation gives -0.377 eV/atom. The distance to the lowest polymorph of the same formula comes out at 216 meV/atom. The value obtained for the total magnetization is 0.0 μB/cell.

Density functional theory data (PBE) for a relaxed Ba3PmGe2O9 crystal.

Cell lengths 5.8744, 5.8744, 7.2898 Å; angles 90.00, 90.00, 120.00 degrees
Last column: nearest neighbours and their distance in Å.
Space group P-3m1 (No. 164)
Symmetry-distinct sites (fractional):
Ba 0.0000 0.0000 0.0000 (multiplicity 1)  12 O 2.89-2.94
Ba 0.3333 0.6667 0.6875 (multiplicity 2)  12 O 2.84-3.18
Pm 0.0000 0.0000 0.5000 (multiplicity 1)  6 O 2.30
Ge 0.3333 0.6667 0.1696 (multiplicity 2)  3 O 1.86
O 0.0000 0.5000 0.0000 (multiplicity 3)  2 Ge 2.10
O 0.1793 0.3587 0.3082 (multiplicity 6)  1 Ge 1.86

The calculation puts the uncorrected formation energy at -224.3 kJ per mole of atoms. The value obtained for the total magnetization is 0.9 μB/cell.

Density functional theory data (PBE) for a relaxed YCoBPb2 crystal.

Cell lengths 5.1809, 5.1809, 3.9118 Å; angles 90.00, 90.00, 90.00 degrees
Last column: nearest neighbours and their distance in Å.
Space group P4/mmm (No. 123)
Symmetry-distinct sites (fractional):
Y 0.0000 0.0000 0.0000 (multiplicity 1)  8 Pb 3.25
Co 0.5000 0.5000 0.0000 (multiplicity 1)  2 B 1.96
B 0.5000 0.5000 0.5000 (multiplicity 1)  2 Co 1.96
Pb 0.0000 0.5000 0.5000 (multiplicity 2)  2 B 2.59

For the energy of formation, the calculation gives 0.317 eV/atom. The value obtained for the total magnetization is 0.0 μB/cell.